1.
Density functional theory data (PBE-GGA) for a relaxed NdSm2Tm9 crystal.

Cell and atoms, written as POSCAR:
```
NdSm2Tm9
1.0
3.499 0.000 0.000
0.000 11.145 0.000
0.000 -5.572 9.652
Tm Nd Sm
9 1 2
direct
0.500 0.823 0.646
0.500 0.177 0.823
0.000 0.500 0.500
0.000 0.000 0.500
0.500 0.646 0.823
0.500 0.177 0.354
0.000 0.500 0.000
0.500 0.823 0.177
0.500 0.354 0.177
0.000 0.000 0.000
0.000 0.667 0.333
0.000 0.333 0.667
```

DOS(E_F) = 17.99 states/eV/f.u.
space group = P6/mmm
energy above the lowest structure with this stoichiometry = 29 meV per atom
VASP energy = -4.48 eV per atom
E_form = 0.677 eV per formula unit
magnetization = 0.00 μB/cell

---

2.
Density functional theory data (PBE-GGA) for a relaxed Tb2DyIn3 crystal.

Cell and atoms, written as POSCAR:
```
Tb2DyIn3
1.0
3.685 0.000 0.000
0.000 3.685 0.000
0.000 0.000 11.823
In Dy Tb
3 1 2
direct
0.000 0.000 0.335
0.000 0.000 0.000
0.000 0.000 0.665
0.500 0.500 0.500
0.500 0.500 0.833
0.500 0.500 0.167
```

DOS(E_F) = 3.41 states/eV/f.u.
space group = P4/mmm
VASP energy = -4.15 eV per atom
E_form = -2.834 eV per formula unit
magnetization = 0.00 μB/cell

---

3.
Density functional theory data (PBE-GGA) for a relaxed Zr2Cd2Ge crystal.

Cell and atoms, written as POSCAR:
```
Zr2Cd2Ge
1.0
7.013 0.000 0.000
0.000 7.013 0.000
0.000 0.000 4.401
Cd Zr Ge
4 4 2
direct
0.864 0.636 0.000
0.636 0.136 0.000
0.136 0.364 0.000
0.364 0.864 0.000
0.333 0.167 0.500
0.833 0.333 0.500
0.167 0.667 0.500
0.667 0.833 0.500
0.500 0.500 0.000
0.000 0.000 0.000
```

DOS(E_F) = 3.90 states/eV/f.u.
space group = P4/mbm
energy above the lowest structure with this stoichiometry = 149 meV per atom
VASP energy = -4.65 eV per atom
E_form = 0.294 eV per formula unit
magnetization = 0.00 μB/cell

---

4.
Density functional theory data (PBE-GGA) for a relaxed V7Fe3Ru crystal.

Cell and atoms, written as POSCAR:
```
V7Fe3Ru
1.0
-2.678 -0.393 0.396
0.521 -2.635 -8.526
0.672 -11.217 3.747
V Fe Ru
14 6 2
direct
0.773 0.409 0.918
0.349 0.884 0.944
0.851 0.137 0.641
0.714 0.863 0.141
0.534 0.884 0.556
0.651 0.116 0.056
0.312 0.623 0.750
0.149 0.863 0.359
0.286 0.137 0.859
0.227 0.591 0.082
0.688 0.377 0.250
0.466 0.116 0.444
0.364 0.591 0.418
0.636 0.409 0.582
0.894 0.667 0.581
0.106 0.333 0.419
0.831 0.662 0.250
0.169 0.338 0.750
0.773 0.667 0.919
0.227 0.333 0.081
0.051 0.101 0.250
0.949 0.899 0.750
```

DOS(E_F) = 10.62 states/eV/f.u.
space group = C2/c
VASP energy = -8.95 eV per atom
E_form = 0.051 eV per formula unit
magnetization = 0.00 μB/cell